Entry from Alexandria via LeMat-Bulk: crystalline VTcI at its relaxed geometry (PBE).

As for the formation energy without anion corrections: 1.192 eV/f.u. The calculation puts the final energy at -39.69 eV per cell. The density comes out at 7143 kg/m3. The calculation puts the energy above the most stable polymorph in this dataset at 37.5 kJ per mole of atoms.

The structure belongs to space group P1 (No. 1); the cell edges are 3.3557, 6.5443 and 6.5638 Å and the angles 63.78°, 85.63° and 82.76°. The distinct sites, in fractional coordinates, are V at (0.0000, 0.0000, 0.0000), V at (0.3804, 0.6742, 0.3268), Tc at (0.5198, 0.8387, 0.8610), Tc at (0.9786, 0.5249, 0.1805), I at (0.0115, 0.0514, 0.4387) and I at (0.4237, 0.4125, 0.8039).